Record 1
# ZnCd2Pd PBE-GGA relaxed
data_ZnCd2Pd
_symmetry_space_group_name_H-M 'C 1 m 1'
_symmetry_Int_Tables_number 8
_cell_length_a 5.2276
_cell_length_b 3.0148
_cell_length_c 9.4823
_cell_angle_alpha 90.00
_cell_angle_beta 100.84
_cell_angle_gamma 90.00
loop_
_symmetry_equiv_pos_as_xyz
'x,y,z'
'x,-y,z'
'x+1/2,y+1/2,z'
'x+1/2,-y+1/2,z'
loop_
_atom_site_label
_atom_site_type_symbol
_atom_site_fract_x
_atom_site_fract_y
_atom_site_fract_z
Zn1 Zn 0.0000 0.0000 0.0000
Cd1 Cd 0.0809 0.5000 0.7410
Cd2 Cd 0.2511 0.5000 0.2589
Pd1 Pd 0.1656 0.0000 0.4999
# Energy of formation ... -0.40 eV per formula unit
# N(E_F) ... 1.65 states/eV/cell

=====

Record 2
# Tm6Tl3Os PBE-GGA relaxed
data_Tm6Tl3Os
_symmetry_space_group_name_H-M 'C 1 2/m 1'
_symmetry_Int_Tables_number 12
_cell_length_a 11.6135
_cell_length_b 7.0710
_cell_length_c 7.2835
_cell_angle_alpha 90.00
_cell_angle_beta 103.28
_cell_angle_gamma 90.00
loop_
_symmetry_equiv_pos_as_xyz
'x,y,z'
'-x,-y,-z'
'-x,y,-z'
'x,-y,z'
'x+1/2,y+1/2,z'
'-x+1/2,-y+1/2,-z'
'-x+1/2,y+1/2,-z'
'x+1/2,-y+1/2,z'
loop_
_atom_site_label
_atom_site_type_symbol
_atom_site_fract_x
_atom_site_fract_y
_atom_site_fract_z
Tm1 Tm 0.1119 0.2461 0.3459
Tm2 Tm 0.1648 0.5000 0.8384
Tl1 Tl 0.0000 0.0000 0.0000
Tl2 Tl 0.1763 0.0000 0.7321
Os1 Os 0.0000 0.5000 0.5000
# Energy of formation ... -1.29 eV per formula unit
# N(E_F) ... 14.07 states/eV/cell

=====

Record 3
# HgPt2W PBE-GGA relaxed
data_HgPt2W
_symmetry_space_group_name_H-M 'P m m 2'
_symmetry_Int_Tables_number 25
_cell_length_a 2.8263
_cell_length_b 3.9853
_cell_length_c 6.0985
_cell_angle_alpha 90.00
_cell_angle_beta 90.00
_cell_angle_gamma 90.00
loop_
_symmetry_equiv_pos_as_xyz
'x,y,z'
'-x,-y,z'
'-x,y,z'
'x,-y,z'
loop_
_atom_site_label
_atom_site_type_symbol
_atom_site_fract_x
_atom_site_fract_y
_atom_site_fract_z
Hg1 Hg 0.0000 0.0000 0.0000
Pt1 Pt 0.0000 0.0000 0.5120
Pt2 Pt 0.5000 0.5000 0.2602
W1 W 0.5000 0.5000 0.7014
# Energy of formation ... 0.60 eV per formula unit
# N(E_F) ... 3.07 states/eV/cell

=====

Record 4
# BaTeP2Se8 PBE-GGA relaxed
data_BaTeP2Se8
_symmetry_space_group_name_H-M 'R -3'
_symmetry_Int_Tables_number 148
_symmetry_space_group_name_Hall '-R 3'
_cell_length_a 6.3406
_cell_length_b 6.3406
_cell_length_c 28.8744
_cell_angle_alpha 90.00
_cell_angle_beta 90.00
_cell_angle_gamma 120.00
loop_
_atom_site_label
_atom_site_type_symbol
_atom_site_fract_x
_atom_site_fract_y
_atom_site_fract_z
Ba1 Ba 0.0000 0.0000 0.0000
Te1 Te 0.0000 0.0000 0.5000
P1 P 0.0000 0.0000 0.2505
Se1 Se 0.0000 0.0000 0.3260
Se2 Se 0.0174 0.7129 0.8930
# E_form (uncorrected) ... -0.34 eV per atom

=====

Record 5
# Zr2BeZn PBE-GGA relaxed
data_Zr2BeZn
_symmetry_space_group_name_H-M 'I -4 2 d'
_symmetry_Int_Tables_number 122
_symmetry_space_group_name_Hall 'I -4 2bw'
_cell_length_a 7.3779
_cell_length_b 7.3779
_cell_length_c 5.3669
_cell_angle_alpha 90.00
_cell_angle_beta 90.00
_cell_angle_gamma 90.00
loop_
_atom_site_label
_atom_site_type_symbol
_atom_site_fract_x
_atom_site_fract_y
_atom_site_fract_z
Zr1 Zr 0.2338 0.2500 0.1250
Be1 Be 0.0000 0.0000 0.0000
Zn1 Zn 0.0000 0.0000 0.5000
# Energy of formation ... 1.07 eV per formula unit
# E above lowest polymorph ... 443 meV/atom
# N(E_F) ... 12.92 states/eV/cell

=====

Record 6
# NaTlRe2 PBE-GGA relaxed
data_NaTlRe2
_symmetry_space_group_name_H-M 'I -4 2 d'
_symmetry_Int_Tables_number 122
_symmetry_space_group_name_Hall 'I -4 2bw'
_cell_length_a 8.1458
_cell_length_b 8.1458
_cell_length_c 5.0021
_cell_angle_alpha 90.00
_cell_angle_beta 90.00
_cell_angle_gamma 90.00
loop_
_atom_site_label
_atom_site_type_symbol
_atom_site_fract_x
_atom_site_fract_y
_atom_site_fract_z
Na1 Na 0.0000 0.0000 0.0000
Tl1 Tl 0.0000 0.0000 0.5000
Re1 Re 0.2131 0.2500 0.6250
# Energy of formation ... 6.56 eV per formula unit
# E above lowest polymorph ... 0 meV/atom
# N(E_F) ... 16.56 states/eV/cell

=====

Record 7
# VIr2WN PBE-GGA relaxed
data_VIr2WN
_symmetry_space_group_name_H-M 'P 4/m m m'
_symmetry_Int_Tables_number 123
_symmetry_space_group_name_Hall '-P 4 2'
_cell_length_a 4.7449
_cell_length_b 4.7449
_cell_length_c 4.6839
_cell_angle_alpha 90.00
_cell_angle_beta 90.00
_cell_angle_gamma 90.00
loop_
_atom_site_label
_atom_site_type_symbol
_atom_site_fract_x
_atom_site_fract_y
_atom_site_fract_z
V1 V 0.0000 0.0000 0.0000
Ir1 Ir 0.0000 0.5000 0.5000
W1 W 0.0000 0.0000 0.5000
N1 N 0.5000 0.5000 0.0000
# E_form (uncorrected) ... 2.68 eV per atom
# N(E_F) ... 9.14 states/eV/cell

=====

Record 8
# Nd6AlPd2 PBE-GGA relaxed
data_Nd6AlPd2
_symmetry_space_group_name_H-M 'I m m m'
_symmetry_Int_Tables_number 71
_symmetry_space_group_name_Hall '-I 2 2'
_cell_length_a 9.6686
_cell_length_b 10.0866
_cell_length_c 10.6800
_cell_angle_alpha 90.00
_cell_angle_beta 90.00
_cell_angle_gamma 90.00
loop_
_atom_site_label
_atom_site_type_symbol
_atom_site_fract_x
_atom_site_fract_y
_atom_site_fract_z
Nd1 Nd 0.0000 0.1921 0.2404
Nd2 Nd 0.2008 0.5000 0.1722
Nd3 Nd 0.2152 0.3199 0.5000
Al1 Al 0.0000 0.0000 0.0000
Al2 Al 0.0000 0.0000 0.5000
Pd1 Pd 0.0000 0.3450 0.0000
Pd2 Pd 0.0000 0.5000 0.3699
# Energy of formation ... -3.79 eV per formula unit
# N(E_F) ... 38.10 states/eV/cell

=====

Record 9
# TcAgAs2Se PBE-GGA relaxed
data_TcAgAs2Se
_symmetry_space_group_name_H-M 'P 4/m m m'
_symmetry_Int_Tables_number 123
_symmetry_space_group_name_Hall '-P 4 2'
_cell_length_a 4.6852
_cell_length_b 4.6852
_cell_length_c 5.4089
_cell_angle_alpha 90.00
_cell_angle_beta 90.00
_cell_angle_gamma 90.00
loop_
_atom_site_label
_atom_site_type_symbol
_atom_site_fract_x
_atom_site_fract_y
_atom_site_fract_z
Tc1 Tc 0.0000 0.0000 0.0000
Ag1 Ag 0.5000 0.5000 0.5000
As1 As 0.0000 0.5000 0.0000
Se1 Se 0.0000 0.0000 0.5000
# E above lowest polymorph ... 0 meV/atom
# E_form (uncorrected) ... 0.52 eV per atom
# N(E_F) ... 5.58 states/eV/cell

=====

Record 10
# LiAc3Pm3Te8 PBE-GGA relaxed
data_LiAc3Pm3Te8
_symmetry_space_group_name_H-M 'R -3 m'
_symmetry_Int_Tables_number 166
_symmetry_space_group_name_Hall '-R 3 2"'
_cell_length_a 9.1034
_cell_length_b 9.1034
_cell_length_c 22.6403
_cell_angle_alpha 90.00
_cell_angle_beta 90.00
_cell_angle_gamma 120.00
loop_
_atom_site_label
_atom_site_type_symbol
_atom_site_fract_x
_atom_site_fract_y
_atom_site_fract_z
Li1 Li 0.0000 0.0000 0.0000
Ac1 Ac 0.0000 0.5000 0.5000
Pm1 Pm 0.0000 0.5000 0.0000
Te1 Te 0.0000 0.0000 0.2558
Te2 Te 0.9999 0.5000 0.2554
# E_form (uncorrected) ... -1.43 eV per atom
# N(E_F) ... 14.46 states/eV/cell

=====

Record 11
# Na3LiPb4 PBE-GGA relaxed
data_Na3LiPb4
_symmetry_space_group_name_H-M 'P 4/m m m'
_symmetry_Int_Tables_number 123
_symmetry_space_group_name_Hall '-P 4 2'
_cell_length_a 3.3705
_cell_length_b 3.3705
_cell_length_c 19.1513
_cell_angle_alpha 90.00
_cell_angle_beta 90.00
_cell_angle_gamma 90.00
loop_
_atom_site_label
_atom_site_type_symbol
_atom_site_fract_x
_atom_site_fract_y
_atom_site_fract_z
Na1 Na 0.0000 0.0000 0.0000
Na2 Na 0.0000 0.0000 0.2634
Li1 Li 0.0000 0.0000 0.5000
Pb1 Pb 0.5000 0.5000 0.1314
Pb2 Pb 0.5000 0.5000 0.3960
# Energy of formation ... -1.39 eV per formula unit
# E above lowest polymorph ... 0 meV/atom
# N(E_F) ... 3.25 states/eV/cell

=====

Record 12
# LiCa2NdS4 PBE-GGA relaxed
data_LiCa2NdS4
_symmetry_space_group_name_H-M 'P 1 2/m 1'
_symmetry_Int_Tables_number 10
_cell_length_a 6.8711
_cell_length_b 4.0579
_cell_length_c 6.9545
_cell_angle_alpha 90.00
_cell_angle_beta 108.78
_cell_angle_gamma 90.00
loop_
_symmetry_equiv_pos_as_xyz
'x,y,z'
'-x,-y,-z'
'-x,y,-z'
'x,-y,z'
loop_
_atom_site_label
_atom_site_type_symbol
_atom_site_fract_x
_atom_site_fract_y
_atom_site_fract_z
Li1 Li 0.0000 0.0000 0.0000
Ca1 Ca 0.0000 0.5000 0.5000
Ca2 Ca 0.5000 0.0000 0.5000
Nd1 Nd 0.5000 0.5000 0.0000
S1 S 0.2474 0.0000 0.7546
S2 S 0.2513 0.5000 0.2504
# E_form (uncorrected) ... -1.94 eV per atom
# N(E_F) ... 0.00 states/eV/cell

=====

Record 13
# Ce4NpU3N8 PBE-GGA relaxed
data_Ce4NpU3N8
_symmetry_space_group_name_H-M 'R -3 m'
_symmetry_Int_Tables_number 166
_symmetry_space_group_name_Hall '-R 3 2"'
_cell_length_a 6.9833
_cell_length_b 6.9833
_cell_length_c 17.2015
_cell_angle_alpha 90.00
_cell_angle_beta 90.00
_cell_angle_gamma 120.00
loop_
_atom_site_label
_atom_site_type_symbol
_atom_site_fract_x
_atom_site_fract_y
_atom_site_fract_z
Ce1 Ce 0.0000 0.0000 0.0000
Ce2 Ce 0.0000 0.5000 0.0000
Np1 Np 0.0000 0.0000 0.5000
U1 U 0.0000 0.5000 0.5000
N1 N 0.0000 0.0000 0.2399
N2 N 0.0069 0.5035 0.7592
# E_form (uncorrected) ... -1.41 eV per atom
# N(E_F) ... 73.67 states/eV/cell

=====

Record 14
# CaCr2P PBE-GGA relaxed
data_CaCr2P
_symmetry_space_group_name_H-M 'R -3 m'
_symmetry_Int_Tables_number 166
_symmetry_space_group_name_Hall '-R 3 2"'
_cell_length_a 4.0354
_cell_length_b 4.0354
_cell_length_c 16.2025
_cell_angle_alpha 90.00
_cell_angle_beta 90.00
_cell_angle_gamma 120.00
loop_
_atom_site_label
_atom_site_type_symbol
_atom_site_fract_x
_atom_site_fract_y
_atom_site_fract_z
Ca1 Ca 0.0000 0.0000 0.0000
Cr1 Cr 0.0000 0.0000 0.1799
P1 P 0.0000 0.0000 0.5000
# Energy of formation ... -0.41 eV per formula unit
# N(E_F) ... 7.88 states/eV/cell

=====

Record 15
# NaEuTmPb PBE-GGA relaxed
data_NaEuTmPb
_symmetry_space_group_name_H-M 'F -4 3 m'
_symmetry_Int_Tables_number 216
_symmetry_space_group_name_Hall 'F -4 2 3'
_cell_length_a 7.8154
_cell_length_b 7.8154
_cell_length_c 7.8154
_cell_angle_alpha 90.00
_cell_angle_beta 90.00
_cell_angle_gamma 90.00
loop_
_atom_site_label
_atom_site_type_symbol
_atom_site_fract_x
_atom_site_fract_y
_atom_site_fract_z
Na1 Na 0.0000 0.0000 0.0000
Eu1 Eu 0.2500 0.2500 0.7500
Tm1 Tm 0.2500 0.2500 0.2500
Pb1 Pb 0.0000 0.0000 0.5000
# Energy of formation ... -0.69 eV per formula unit
# N(E_F) ... 38.41 states/eV/cell

=====

Record 16
# YFeSb2I PBE-GGA relaxed
data_YFeSb2I
_symmetry_space_group_name_H-M 'P 4/m m m'
_symmetry_Int_Tables_number 123
_symmetry_space_group_name_Hall '-P 4 2'
_cell_length_a 4.9154
_cell_length_b 4.9154
_cell_length_c 5.5079
_cell_angle_alpha 90.00
_cell_angle_beta 90.00
_cell_angle_gamma 90.00
loop_
_atom_site_label
_atom_site_type_symbol
_atom_site_fract_x
_atom_site_fract_y
_atom_site_fract_z
Y1 Y 0.0000 0.0000 0.0000
Fe1 Fe 0.5000 0.5000 0.5000
Sb1 Sb 0.0000 0.5000 0.5000
I1 I 0.5000 0.5000 0.0000
# E above lowest polymorph ... 0 meV/atom
# E_form (uncorrected) ... 0.10 eV per atom
# N(E_F) ... 5.35 states/eV/cell

=====

Record 17
# Rb3Ba3IO8 PBE-GGA relaxed
data_Rb3Ba3IO8
_symmetry_space_group_name_H-M 'R -3 m'
_symmetry_Int_Tables_number 166
_symmetry_space_group_name_Hall '-R 3 2"'
_cell_length_a 7.7590
_cell_length_b 7.7590
_cell_length_c 19.8405
_cell_angle_alpha 90.00
_cell_angle_beta 90.00
_cell_angle_gamma 120.00
loop_
_atom_site_label
_atom_site_type_symbol
_atom_site_fract_x
_atom_site_fract_y
_atom_site_fract_z
Rb1 Rb 0.0000 0.5000 0.0000
Ba1 Ba 0.0000 0.5000 0.5000
I1 I 0.0000 0.0000 0.5000
O1 O 0.0000 0.0000 0.2329
O2 O 0.0951 0.5476 0.2221
# E_form (uncorrected) ... -1.64 eV per atom
# N(E_F) ... 6.36 states/eV/cell

=====

Record 18
# In3Ag3SnS8 PBE-GGA relaxed
data_In3Ag3SnS8
_symmetry_space_group_name_H-M 'C 1 2/m 1'
_symmetry_Int_Tables_number 12
_cell_length_a 13.1568
_cell_length_b 7.5946
_cell_length_c 7.8198
_cell_angle_alpha 90.00
_cell_angle_beta 124.25
_cell_angle_gamma 90.00
loop_
_symmetry_equiv_pos_as_xyz
'x,y,z'
'-x,-y,-z'
'-x,y,-z'
'x,-y,z'
'x+1/2,y+1/2,z'
'-x+1/2,-y+1/2,-z'
'-x+1/2,y+1/2,-z'
'x+1/2,-y+1/2,z'
loop_
_atom_site_label
_atom_site_type_symbol
_atom_site_fract_x
_atom_site_fract_y
_atom_site_fract_z
In1 In 0.0000 0.0000 0.0000
In2 In 0.2500 0.2500 0.0000
Ag1 Ag 0.0000 0.5000 0.5000
Ag2 Ag 0.2500 0.2500 0.5000
Sn1 Sn 0.0000 0.5000 0.0000
S1 S 0.0023 0.2589 0.7673
S2 S 0.2384 0.5000 0.2325
S3 S 0.2426 0.0000 0.2262
# E_form (uncorrected) ... -0.36 eV per atom
# N(E_F) ... 5.20 states/eV/cell

=====

Record 19
# ScGe2SbO PBE-GGA relaxed
data_ScGe2SbO
_symmetry_space_group_name_H-M 'P 4/m m m'
_symmetry_Int_Tables_number 123
_symmetry_space_group_name_Hall '-P 4 2'
_cell_length_a 4.8681
_cell_length_b 4.8681
_cell_length_c 4.1115
_cell_angle_alpha 90.00
_cell_angle_beta 90.00
_cell_angle_gamma 90.00
loop_
_atom_site_label
_atom_site_type_symbol
_atom_site_fract_x
_atom_site_fract_y
_atom_site_fract_z
Sc1 Sc 0.0000 0.0000 0.0000
Ge1 Ge 0.0000 0.5000 0.5000
Sb1 Sb 0.5000 0.5000 0.0000
O1 O 0.0000 0.0000 0.5000
# E_form (uncorrected) ... -0.63 eV per atom
# N(E_F) ... 3.02 states/eV/cell

=====

Record 20
# ZrTaP PBE-GGA relaxed
data_ZrTaP
_symmetry_space_group_name_H-M 'C 1 2/m 1'
_symmetry_Int_Tables_number 12
_cell_length_a 15.9230
_cell_length_b 3.5678
_cell_length_c 8.0695
_cell_angle_alpha 90.00
_cell_angle_beta 92.72
_cell_angle_gamma 90.00
loop_
_symmetry_equiv_pos_as_xyz
'x,y,z'
'-x,-y,-z'
'-x,y,-z'
'x,-y,z'
'x+1/2,y+1/2,z'
'-x+1/2,-y+1/2,-z'
'-x+1/2,y+1/2,-z'
'x+1/2,-y+1/2,z'
loop_
_atom_site_label
_atom_site_type_symbol
_atom_site_fract_x
_atom_site_fract_y
_atom_site_fract_z
Zr1 Zr 0.0789 0.0000 0.3174
Zr2 Zr 0.0801 0.5000 0.8974
Ta1 Ta 0.1856 0.5000 0.5513
Ta2 Ta 0.2505 0.0000 0.8088
P1 P 0.0882 0.0000 0.6507
P2 P 0.1631 0.0000 0.0586
# Energy of formation ... -2.01 eV per formula unit
# N(E_F) ... 14.98 states/eV/cell

=====

Record 21
# Mg2VCo5B2 PBE-GGA relaxed
data_Mg2VCo5B2
_symmetry_space_group_name_H-M 'P 4/m b m'
_symmetry_Int_Tables_number 127
_symmetry_space_group_name_Hall '-P 4 2ab'
_cell_length_a 8.7424
_cell_length_b 8.7424
_cell_length_c 2.8115
_cell_angle_alpha 90.00
_cell_angle_beta 90.00
_cell_angle_gamma 90.00
loop_
_atom_site_label
_atom_site_type_symbol
_atom_site_fract_x
_atom_site_fract_y
_atom_site_fract_z
Mg1 Mg 0.1766 0.3234 0.0000
V1 V 0.0000 0.0000 0.0000
Co1 Co 0.0000 0.5000 0.5000
Co2 Co 0.0683 0.7836 0.5000
B1 B 0.1205 0.6205 0.0000
# Energy of formation ... -2.44 eV per formula unit
# N(E_F) ... 8.24 states/eV/cell

=====

Record 22
# La2NdEr6 PBE-GGA relaxed
data_La2NdEr6
_symmetry_space_group_name_H-M 'P 42/m n m'
_symmetry_Int_Tables_number 136
_symmetry_space_group_name_Hall '-P 4n 2n'
_cell_length_a 10.7348
_cell_length_b 10.7348
_cell_length_c 5.0919
_cell_angle_alpha 90.00
_cell_angle_beta 90.00
_cell_angle_gamma 90.00
loop_
_atom_site_label
_atom_site_type_symbol
_atom_site_fract_x
_atom_site_fract_y
_atom_site_fract_z
La1 La 0.1672 0.1672 0.0000
Nd1 Nd 0.0000 0.0000 0.5000
Er1 Er 0.0024 0.3364 0.5000
Er2 Er 0.1675 0.8325 0.0000
# Energy of formation ... 0.33 eV per formula unit
# E above lowest polymorph ... 0 meV/atom
# N(E_F) ... 27.47 states/eV/cell